1.
RbReP2O | PBE | relaxed

abc: 5.0805 5.0805 3.8890
angles: 90.00 90.00 90.00
Each line ends with the local moment (μB).
Positions (direct):
Re 0.5000 0.5000 0.5000  -0.21
O 0.0000 0.0000 0.5000  0.09
Rb 0.0000 0.0000 0.0000  0.03
P 0.0000 0.5000 0.0000  0.04
P 0.5000 0.0000 0.0000  0.04

Calculated values
As for the crystal system: tetragonal. The total magnetic moment comes out at 0.00 μB/atom. The total energy comes out at -16.32 eV/f.u. As for the energy above the most stable polymorph in this dataset: 2.7399 eV/atom. Its space group is P4/mmm, No. 123. The calculation puts the calculated volume at 100 Å³ per cell. For the energy relative to the elements, uncorrected, the calculation gives 59.38 kcal/mol of atoms.



2.
HfNiB2 | PBE | relaxed

abc: 3.7194 3.7194 7.2581
angles: 75.15 75.15 90.00
Positions (direct):
Ni 0.5000 0.5000 0.0000
Ni 0.2500 0.7500 0.5000
B 0.3752 0.1250 0.2500
B 0.3748 0.6250 0.2500
B 0.3750 0.6248 0.7500
B 0.8750 0.6252 0.7500
Hf 0.0000 0.0000 0.0000
Hf 0.7500 0.2500 0.5000

Calculated values
As for the crystal system: tetragonal. The total magnetic moment comes out at 0.00 μB/atom. The total energy comes out at -30.03 eV/f.u. As for the energy above the most stable polymorph in this dataset: 0.5150 eV/atom. As for the formation energy: -0.23 eV per atom. Its space group is I4_1/amd, No. 141. The calculation puts the calculated volume at 94 Å³ per cell.



3.
MnB3N | PBE | relaxed

abc: 3.8486 3.8486 3.8486
angles: 90.00 90.00 90.00
Each line ends with the local moment (μB).
Positions (direct):
B 0.0000 0.5000 0.0000  -0.04
B 0.0000 0.0000 0.5000  -0.08
B 0.5000 0.0000 0.0000  -0.03
Mn 0.0000 0.0000 0.0000  1.18
N 0.5000 0.5000 0.5000  1.49

Calculated values
As for the crystal system: cubic. The total magnetic moment comes out at 0.60 μB/atom. The total energy comes out at -27.12 eV/f.u. As for the energy above the most stable polymorph in this dataset: 0.5969 eV/atom. Its space group is Pm-3m, No. 221. The calculation puts the calculated volume at 57 Å³ per cell. For the energy relative to the elements, uncorrected, the calculation gives 48.00 kcal/mol of atoms.



4.
Nb2CuGe | PBE | relaxed

abc: 7.0334 7.0334 5.6931
angles: 51.85 51.85 90.00
Positions (direct):
Nb 0.6233 0.1250 0.2500
Nb 0.1267 0.6250 0.2500
Nb 0.3750 0.3767 0.7500
Nb 0.8750 0.8733 0.7500
Ge 0.0000 0.0000 0.0000
Ge 0.7500 0.2500 0.5000
Cu 0.5000 0.5000 0.0000
Cu 0.2500 0.7500 0.5000

Calculated values
As for the crystal system: tetragonal. The total magnetic moment comes out at 0.00 μB/atom. The total energy comes out at -28.20 eV/f.u. As for the formation energy: 0.16 eV per atom. Its space group is I-42d, No. 122. The calculation puts the calculated volume at 137 Å³ per cell.